Entry from the Alexandria database: a relaxed Nd5Y4Th2 crystal (GGA-PBE).

The structure in POSCAR format:
```
Nd5Y4Th2
1.0
3.527 0.000 0.000
0.000 11.624 0.000
-1.763 -5.812 9.318
Th Nd Y
2 5 4
Direct
0.796 0.796 0.593
0.204 0.204 0.407
0.177 0.889 0.353
0.823 0.536 0.647
0.500 0.000 0.000
0.823 0.111 0.647
0.177 0.464 0.353
0.588 0.588 0.177
0.412 0.412 0.823
0.000 0.729 0.000
0.000 0.271 0.000
```

Properties
crystal system	orthorhombic
SG	Immm (71)
ΔE_f	0.25	eV/atom

***

Entry from the Alexandria database: a relaxed Na7NbO6 crystal (GGA-PBE).

The structure in POSCAR format:
```
Na7NbO6
1.0
-5.141 3.840 -0.118
-3.135 0.870 -5.531
-5.826 -2.587 -0.739
O Na Nb
6 7 1
Direct
0.110 0.320 0.784
0.182 0.925 0.662
0.662 0.182 0.925
0.925 0.662 0.182
0.784 0.110 0.320
0.320 0.784 0.110
0.042 0.751 0.516
0.516 0.042 0.751
0.498 0.884 0.291
0.884 0.291 0.498
0.751 0.516 0.042
0.346 0.346 0.346
0.291 0.498 0.884
0.996 0.996 0.996
```

Properties
raw formation energy	-1.678	eV/atom
crystal system	trigonal
SG	R3 (146)

***

Entry from the Alexandria database: a relaxed BH2W crystal (GGA-PBE).

The structure in POSCAR format:
```
BH2W
1.0
-2.626 1.534 -0.786
0.175 -1.187 -2.903
-4.695 -4.826 -0.011
W H B
2 4 2
Direct
0.750 0.250 0.500
0.000 0.000 0.000
0.875 0.888 0.750
0.638 0.125 0.250
0.112 0.625 0.250
0.375 0.362 0.750
0.500 0.500 0.000
0.250 0.750 0.500
```

Properties
electronic total energy	-6.0742	eV/atom
crystal system	tetragonal
SG	I-42d (122)

***

Entry from the Alexandria database: a relaxed CsAs4P4 crystal (GGA-PBE).

The structure in POSCAR format:
```
CsAs4P4
1.0
5.211 0.000 0.000
0.000 9.024 0.000
0.000 0.000 9.024
As P Cs
8 8 2
Direct
0.499 0.338 0.867
0.501 0.133 0.338
0.999 0.367 0.162
0.499 0.662 0.133
0.001 0.162 0.633
0.001 0.838 0.367
0.999 0.633 0.838
0.501 0.867 0.662
0.000 0.170 0.366
0.500 0.134 0.670
0.000 0.366 0.830
0.500 0.670 0.866
0.000 0.830 0.634
0.500 0.330 0.134
0.000 0.634 0.170
0.500 0.866 0.330
0.000 0.000 0.000
0.500 0.500 0.500
```

Properties
crystal system	tetragonal
SG	I4/m (87)
ΔE_f	0.11	eV/atom

***

Calculated total magnetization, 0.00, 0.00, 0.00, 0.00 μB per cell (same order as the records).